# LiVTe

A relaxed structure of LiVTe (GGA-PBE, Alexandria via LeMat-Bulk).

```
data_LiVTe
_chemical_formula_sum 'Li2 V2 Te2'
_space_group_name_H-M_alt 'P 4/n m m'
_space_group_IT_number 129
_cell_length_a 3.962
_cell_length_b 3.962
_cell_length_c 7.040
_cell_angle_alpha 90.00
_cell_angle_beta 90.00
_cell_angle_gamma 90.00
loop_
_space_group_symop_operation_xyz
'x,y,z'
'-x,-y,-z'
'-y+1/2,x,z'
'y+1/2,-x,-z'
'-x+1/2,-y+1/2,z'
'x+1/2,y+1/2,-z'
'y,-x+1/2,z'
'-y,x+1/2,-z'
'x+1/2,-y,-z'
'-x+1/2,y,z'
'-y,-x,-z'
'y,x,z'
'-x,y+1/2,-z'
'x,-y+1/2,z'
'y+1/2,x+1/2,-z'
'-y+1/2,-x+1/2,z'
loop_
_atom_site_label
_atom_site_type_symbol
_atom_site_fract_x
_atom_site_fract_y
_atom_site_fract_z
_atom_site_occupancy
Li1 Li 0.250 0.250 0.179 1
V1 V 0.250 0.750 0.500 1
Te1 Te 0.250 0.250 0.765 1
```

Properties
Its total DFT energy (no corrections) is -5.14 eV per atom. Its formation energy (no corrections) is -0.419 eV per atom. The magnetization comes out at 0.086 μB per atom.



# LiTe2W

A relaxed structure of LiTe2W (GGA-PBE, Alexandria via LeMat-Bulk).

```
data_LiTe2W
_chemical_formula_sum 'Li2 Te4 W2'
_space_group_name_H-M_alt 'C 1 2/m 1'
_space_group_IT_number 12
_cell_length_a 7.324
_cell_length_b 3.785
_cell_length_c 6.593
_cell_angle_alpha 90.00
_cell_angle_beta 90.92
_cell_angle_gamma 90.00
loop_
_space_group_symop_operation_xyz
'x,y,z'
'-x,-y,-z'
'-x,y,-z'
'x,-y,z'
'x+1/2,y+1/2,z'
'-x+1/2,-y+1/2,-z'
'-x+1/2,y+1/2,-z'
'x+1/2,-y+1/2,z'
loop_
_atom_site_label
_atom_site_type_symbol
_atom_site_fract_x
_atom_site_fract_y
_atom_site_fract_z
_atom_site_occupancy
Li1 Li 0.000 0.000 0.000 1
Te1 Te 0.180 0.500 0.266 1
W1 W 0.000 0.000 0.500 1
```

Properties
Its total DFT energy (no corrections) is -5.32 eV per atom. Its formation energy (no corrections) is -0.032 eV per atom. The magnetization comes out at 0.235 μB per atom.



# LiTe2W

A relaxed structure of LiTe2W (GGA-PBE, Alexandria via LeMat-Bulk).

```
data_LiTe2W
_chemical_formula_sum 'Li4 Te8 W4'
_space_group_name_H-M_alt 'F -4 3 m'
_space_group_IT_number 216
_space_group_name_Hall 'F -4 2 3'
_cell_length_a 6.907
_cell_length_b 6.907
_cell_length_c 6.907
_cell_angle_alpha 90.00
_cell_angle_beta 90.00
_cell_angle_gamma 90.00
loop_
_atom_site_label
_atom_site_type_symbol
_atom_site_fract_x
_atom_site_fract_y
_atom_site_fract_z
_atom_site_occupancy
Li1 Li 0.000 0.000 0.000 1
Te1 Te 0.000 0.000 0.500 1
Te2 Te 0.250 0.250 0.250 1
W1 W 0.250 0.250 0.750 1
```

Properties
Its total DFT energy (no corrections) is -4.35 eV per atom. Its formation energy (no corrections) is 0.933 eV per atom. The magnetization comes out at 0.001 μB per atom.



# Li2TeW

A relaxed structure of Li2TeW (GGA-PBE, Alexandria via LeMat-Bulk).

```
data_Li2TeW
_chemical_formula_sum 'Li4 Te2 W2'
_space_group_name_H-M_alt 'C 1 m 1'
_space_group_IT_number 8
_cell_length_a 9.511
_cell_length_b 3.282
_cell_length_c 4.915
_cell_angle_alpha 90.00
_cell_angle_beta 110.28
_cell_angle_gamma 90.00
loop_
_space_group_symop_operation_xyz
'x,y,z'
'x,-y,z'
'x+1/2,y+1/2,z'
'x+1/2,-y+1/2,z'
loop_
_atom_site_label
_atom_site_type_symbol
_atom_site_fract_x
_atom_site_fract_y
_atom_site_fract_z
_atom_site_occupancy
Li1 Li 0.000 0.000 0.000 1
Li2 Li 0.246 0.000 0.875 1
Te1 Te 0.493 0.000 0.454 1
W1 W 0.265 0.500 0.398 1
```

Properties
Its total DFT energy (no corrections) is -4.69 eV per atom. Its formation energy (no corrections) is 0.287 eV per atom. The magnetization comes out at 0.000 μB per atom.



Which value of total DFT energy (no corrections) does entry 1 give? -5.14 eV per atom